Record 1
Here is crystalline Cs2PmAlO4 at its relaxed geometry from the Alexandria database. Energies are from PBE.

Unit cell a=13.686 b=12.429 c=7.005 alpha=84.64 beta=64.72 gamma=30.64
Atoms (fractional coordinates):
Cs 0.057 0.057 0.693
Cs 0.307 0.307 0.943
Cs 0.693 0.693 0.057
Cs 0.943 0.943 0.307
Pm 0.125 0.125 0.125
Pm 0.875 0.875 0.875
Al 0.375 0.375 0.375
Al 0.625 0.625 0.625
O 0.054 0.620 0.530
O 0.296 0.530 0.620
O 0.380 0.946 0.704
O 0.470 0.704 0.946
O 0.530 0.296 0.054
O 0.620 0.054 0.296
O 0.704 0.470 0.380
O 0.946 0.380 0.470

Properties
The value obtained for the total energy is -5.963 eV per atom. The value obtained for the density of states at the Fermi level is 0.00 states/eV per atom.



Record 2
Here is crystalline Cs3PmAl2O6 at its relaxed geometry from the Alexandria database. Energies are from PBE.

Unit cell a=6.264 b=6.264 c=7.785 alpha=90.00 beta=90.00 gamma=120.00
Atoms (fractional coordinates):
Cs 0.000 0.000 0.000
Cs 0.333 0.667 0.758
Cs 0.667 0.333 0.242
Pm 0.000 0.000 0.500
Al 0.333 0.667 0.316
Al 0.667 0.333 0.684
O 0.175 0.350 0.314
O 0.175 0.825 0.314
O 0.350 0.175 0.686
O 0.650 0.825 0.314
O 0.825 0.175 0.686
O 0.825 0.650 0.686

Properties
The value obtained for the total energy is -6.055 eV per atom. The value obtained for the density of states at the Fermi level is 0.00 states/eV per atom.



Record 3
Here is crystalline Cs2PrAlO4 at its relaxed geometry from the Alexandria database. Energies are from PBE.

Unit cell a=13.886 b=12.657 c=7.025 alpha=84.60 beta=65.16 gamma=30.24
Atoms (fractional coordinates):
Cs 0.060 0.060 0.690
Cs 0.310 0.310 0.940
Cs 0.690 0.690 0.060
Cs 0.940 0.940 0.310
Pr 0.125 0.125 0.125
Pr 0.875 0.875 0.875
Al 0.375 0.375 0.375
Al 0.625 0.625 0.625
O 0.058 0.618 0.524
O 0.300 0.524 0.618
O 0.382 0.942 0.700
O 0.476 0.700 0.942
O 0.524 0.300 0.058
O 0.618 0.058 0.300
O 0.700 0.476 0.382
O 0.942 0.382 0.476

Properties
The value obtained for the total energy is -5.917 eV per atom. The value obtained for the density of states at the Fermi level is 0.00 states/eV per atom.



Record 4
Here is crystalline Cs2AlPtO4 at its relaxed geometry from the Alexandria database. Energies are from PBE.

Unit cell a=12.553 b=11.042 c=7.189 alpha=84.20 beta=61.06 gamma=34.73
Atoms (fractional coordinates):
Cs 0.053 0.053 0.697
Cs 0.303 0.303 0.947
Cs 0.697 0.697 0.053
Cs 0.947 0.947 0.303
Al 0.125 0.125 0.125
Al 0.875 0.875 0.875
Pt 0.375 0.375 0.375
Pt 0.625 0.625 0.625
O 0.015 0.280 0.415
O 0.210 0.585 0.720
O 0.280 0.015 0.790
O 0.415 0.790 0.015
O 0.585 0.210 0.985
O 0.720 0.985 0.210
O 0.790 0.415 0.280
O 0.985 0.720 0.585

Properties
The value obtained for the total energy is -5.388 eV per atom. The value obtained for the density of states at the Fermi level is 0.29 states/eV per atom.